[1]
Density functional theory data (GGA-PBE) for a relaxed Rb3SmBi2Te6 crystal.

Lattice parameters (Å, degrees): 8.015 8.015 8.979 98.56 98.56 120.00
Fractional coordinates of all 12 atoms:
Rb1 0.000 0.000 0.000
Rb2 0.332 0.668 0.000
Rb3 0.668 0.332 0.000
Sm1 0.500 0.500 0.500
Bi1 0.167 0.833 0.500
Bi2 0.833 0.167 0.500
Te1 0.099 0.433 0.298
Te2 0.234 0.234 0.702
Te3 0.433 0.099 0.298
Te4 0.567 0.901 0.702
Te5 0.766 0.766 0.298
Te6 0.901 0.567 0.702

Energy relative to the elements, uncorrected   -874 meV per atom
Space-group type   C2/m

[2]
Density functional theory data (GGA-PBE) for a relaxed Rb2SmBiTe4 crystal.

Lattice parameters (Å, degrees): 8.055 4.598 8.963 90.00 107.04 90.00
Fractional coordinates of all 8 atoms:
Rb1 0.000 0.000 0.000
Rb2 0.500 0.500 0.000
Sm1 0.000 0.500 0.500
Bi1 0.500 0.000 0.500
Te1 0.233 0.000 0.702
Te2 0.265 0.500 0.298
Te3 0.735 0.500 0.702
Te4 0.767 0.000 0.298

Energy relative to the elements, uncorrected   -1005 meV per atom
Space-group type   P2/m

[3]
Density functional theory data (GGA-PBE) for a relaxed Rb3Sm2BiTe6 crystal.

Lattice parameters (Å, degrees): 8.001 8.001 8.968 98.55 98.55 120.00
Fractional coordinates of all 12 atoms:
Rb1 0.000 0.000 0.000
Rb2 0.334 0.666 0.000
Rb3 0.666 0.334 0.000
Sm1 0.167 0.833 0.500
Sm2 0.833 0.167 0.500
Bi1 0.500 0.500 0.500
Te1 0.098 0.432 0.297
Te2 0.233 0.233 0.702
Te3 0.432 0.098 0.297
Te4 0.568 0.902 0.703
Te5 0.767 0.767 0.298
Te6 0.902 0.568 0.703

Energy relative to the elements, uncorrected   -1136 meV per atom
Space-group type   C2/m